[1]
Density functional theory data (PBE-GGA) for a relaxed structure of BaTaBe2.

a b c (Å): 2.919 5.059 5.059
angles (deg): 90.00 90.00 90.00
Element x y z (fractional)
1 Be 0.000 0.000 0.000
2 Be 0.000 0.500 0.500
3 Ta 0.500 0.500 0.000
4 Ba 0.500 0.000 0.500

Values from the calculation:
The value obtained for the formation energy is 0.936 eV/atom. Its total magnetic moment is 0.00 μB per atom. The space group is P4/mmm, No. 123. Its energy relative to the lowest polymorph listed for this composition is 0.494 eV per atom. Its total DFT energy (no corrections) is -4.371 eV per atom. The density of states at the Fermi level is 0.480 states/eV per atom.

=====

[2]
Density functional theory data (PBE-GGA) for a relaxed structure of Er12Sb6Os.

a b c (Å): 8.480 8.480 8.480
angles (deg): 99.74 99.74 99.74
Element x y z (fractional)
1 Er 0.454 0.802 0.586
2 Er 0.686 0.941 0.009
3 Er 0.802 0.586 0.454
4 Er 0.414 0.546 0.198
5 Er 0.586 0.454 0.802
6 Er 0.314 0.059 0.991
7 Er 0.009 0.686 0.941
8 Er 0.198 0.414 0.546
9 Er 0.941 0.009 0.686
10 Er 0.991 0.314 0.059
11 Er 0.059 0.991 0.314
12 Er 0.546 0.198 0.414
13 Sb 0.880 0.354 0.682
14 Sb 0.120 0.646 0.318
15 Sb 0.646 0.318 0.120
16 Sb 0.682 0.880 0.354
17 Sb 0.354 0.682 0.880
18 Sb 0.318 0.120 0.646
19 Os 0.000 0.000 0.000

Values from the calculation:
Its total magnetic moment is 0.00 μB per atom. The space group is R-3, No. 148. The value obtained for the formation energy (no corrections) is -0.602 eV per atom. Its total DFT energy (no corrections) is -5.377 eV per atom. The density of states at the Fermi level is 0.660 states/eV per atom.

=====

[3]
Density functional theory data (PBE-GGA) for a relaxed structure of Tb4Sm4Sc.

a b c (Å): 5.030 7.961 7.961
angles (deg): 84.27 71.58 71.58
Element x y z (fractional)
1 Tb 0.664 0.000 0.672
2 Tb 0.336 0.000 0.328
3 Tb 0.664 0.672 0.000
4 Tb 0.336 0.328 0.000
5 Sc 0.000 0.000 0.000
6 Sm 0.670 0.330 0.330
7 Sm 0.330 0.670 0.670
8 Sm 0.000 0.670 0.330
9 Sm 0.000 0.330 0.670

Values from the calculation:
The value obtained for the formation energy is 0.031 eV/atom. Its total magnetic moment is 0.00 μB per atom. The space group is I4/mmm, No. 139. Its total DFT energy (no corrections) is -4.828 eV per atom. The density of states at the Fermi level is 1.573 states/eV per atom.

=====

[4]
Density functional theory data (PBE-GGA) for a relaxed structure of RbSiS2Cl.

a b c (Å): 5.455 5.455 5.692
angles (deg): 90.00 90.00 90.00
Site moments in Bohr magnetons follow the coordinates.
Element x y z (fractional)
1 S 0.500 0.000 0.000  0.21
2 S 0.000 0.500 0.000  0.21
3 Cl 0.000 0.000 0.500  0.02
4 Rb 0.000 0.000 0.000  0.04
5 Si 0.500 0.500 0.500  -0.05

Values from the calculation:
Its total magnetic moment is 0.12 μB per atom. The space group is P4/mmm, No. 123. Its energy relative to the lowest polymorph listed for this composition is 1.761 eV per atom. The value obtained for the formation energy (no corrections) is 1.129 eV per atom. Its total DFT energy (no corrections) is -2.170 eV per atom. The density of states at the Fermi level is 1.162 states/eV per atom.

=====

[5]
Density functional theory data (PBE-GGA) for a relaxed structure of Ba2CeH12Pd3.

a b c (Å): 6.525 6.525 6.525
angles (deg): 64.62 64.62 64.62
Site moments in Bohr magnetons follow the coordinates.
Element x y z (fractional)
1 H 0.731 0.094 0.731  0.00
2 H 0.906 0.269 0.269  0.00
3 H 0.590 0.124 0.124  0.00
4 H 0.410 0.876 0.876  0.00
5 H 0.124 0.124 0.590  0.00
6 H 0.876 0.410 0.876  0.00
7 H 0.269 0.269 0.906  0.00
8 H 0.124 0.590 0.124  0.00
9 H 0.876 0.876 0.410  0.00
10 H 0.094 0.731 0.731  0.00
11 H 0.269 0.906 0.269  0.00
12 H 0.731 0.731 0.094  0.00
13 Pd 0.500 0.000 0.000  0.05
14 Pd 0.000 0.000 0.500  0.05
15 Pd 0.000 0.500 0.000  0.05
16 Ce 0.000 0.000 0.000  0.83
17 Ba 0.613 0.613 0.613  0.01
18 Ba 0.387 0.387 0.387  0.01

Values from the calculation:
Its total magnetic moment is 0.06 μB per atom. The space group is R-3m, No. 166. Its total DFT energy (no corrections) is -3.977 eV per atom. The density of states at the Fermi level is 0.448 states/eV per atom.

=====

[6]
Density functional theory data (PBE-GGA) for a relaxed structure of La4Pm3Sc2.

a b c (Å): 3.671 6.717 14.537
angles (deg): 63.51 90.00 105.86
Element x y z (fractional)
1 Pm 0.000 0.000 0.000
2 Pm 0.622 0.244 0.386
3 Pm 0.378 0.756 0.614
4 Sc 0.339 0.677 0.207
5 Sc 0.661 0.323 0.793
6 La 0.653 0.306 0.127
7 La 0.347 0.694 0.873
8 La 0.110 0.220 0.616
9 La 0.890 0.780 0.384

Values from the calculation:
The value obtained for the formation energy is 0.098 eV/atom. Its total magnetic moment is 0.00 μB per atom. The space group is C2/m, No. 12. Its total DFT energy (no corrections) is -5.083 eV per atom. The density of states at the Fermi level is 1.830 states/eV per atom.

=====

[7]
Density functional theory data (PBE-GGA) for a relaxed structure of Nb3CdPb.

a b c (Å): 5.025 5.025 5.025
angles (deg): 90.00 90.00 90.00
Element x y z (fractional)
1 Cd 0.000 0.000 0.000
2 Nb 0.000 0.500 0.000
3 Nb 0.000 0.000 0.500
4 Nb 0.500 0.000 0.000
5 Pb 0.500 0.500 0.500

Values from the calculation:
The value obtained for the formation energy is 1.671 eV/atom. Its total magnetic moment is 0.00 μB per atom. The space group is Pm-3m, No. 221. Its energy relative to the lowest polymorph listed for this composition is 0.000 eV per atom. Its total DFT energy (no corrections) is -5.296 eV per atom. The density of states at the Fermi level is 2.326 states/eV per atom.

=====

[8]
Density functional theory data (PBE-GGA) for a relaxed structure of Pm6PrDy3Ho2.

a b c (Å): 6.255 6.255 11.917
angles (deg): 95.01 95.01 119.99
Element x y z (fractional)
1 Pm 0.418 0.084 0.251
2 Pm 0.250 0.250 0.749
3 Pm 0.582 0.916 0.749
4 Pm 0.084 0.418 0.251
5 Pm 0.750 0.750 0.251
6 Pm 0.916 0.582 0.749
7 Dy 0.167 0.833 0.500
8 Dy 0.833 0.167 0.500
9 Dy 0.500 0.500 0.500
10 Ho 0.333 0.667 0.000
11 Ho 0.667 0.333 0.000
12 Pr 0.000 0.000 0.000

Values from the calculation:
The value obtained for the formation energy is 0.014 eV/atom. Its total magnetic moment is 0.00 μB per atom. The space group is C2/m, No. 12. Its total DFT energy (no corrections) is -4.673 eV per atom. The density of states at the Fermi level is 1.235 states/eV per atom.

=====

[9]
Density functional theory data (PBE-GGA) for a relaxed structure of InHg2.

a b c (Å): 6.001 6.001 21.166
angles (deg): 90.00 90.00 120.00
Element x y z (fractional)
1 Hg 0.837 0.674 0.750
2 Hg 0.500 0.000 0.000
3 Hg 0.667 0.333 0.627
4 Hg 0.000 0.500 0.000
5 Hg 0.837 0.163 0.750
6 Hg 0.500 0.000 0.500
7 Hg 0.333 0.667 0.127
8 Hg 0.500 0.500 0.500
9 Hg 0.500 0.500 0.000
10 Hg 0.333 0.667 0.373
11 Hg 0.674 0.837 0.250
12 Hg 0.326 0.163 0.750
13 Hg 0.163 0.326 0.250
14 Hg 0.000 0.500 0.500
15 Hg 0.667 0.333 0.873
16 Hg 0.163 0.837 0.250
17 In 0.667 0.333 0.155
18 In 0.667 0.333 0.345
19 In 0.000 0.000 0.092
20 In 0.000 0.000 0.408
21 In 0.333 0.667 0.655
22 In 0.000 0.000 0.592
23 In 0.000 0.000 0.908
24 In 0.333 0.667 0.845

Values from the calculation:
The value obtained for the formation energy is 0.076 eV/atom. Its total magnetic moment is 0.00 μB per atom. The space group is P6_3/mmc, No. 194. Its total DFT energy (no corrections) is -1.039 eV per atom. The density of states at the Fermi level is 0.217 states/eV per atom.

=====

[10]
Density functional theory data (PBE-GGA) for a relaxed structure of Sm2CdCu4Ge3.

a b c (Å): 4.176 4.176 10.438
angles (deg): 90.00 90.00 90.00
Element x y z (fractional)
1 Ge 0.500 0.000 0.871
2 Ge 0.000 0.000 0.500
3 Ge 0.000 0.500 0.129
4 Cu 0.500 0.000 0.645
5 Cu 0.000 0.000 0.000
6 Cu 0.500 0.500 0.000
7 Cu 0.000 0.500 0.355
8 Cd 0.500 0.500 0.500
9 Sm 0.500 0.000 0.234
10 Sm 0.000 0.500 0.766

Values from the calculation:
The value obtained for the formation energy is -0.439 eV/atom. Its total magnetic moment is 0.00 μB per atom. The space group is P-4m2, No. 115. Its total DFT energy (no corrections) is -4.498 eV per atom. The density of states at the Fermi level is 0.289 states/eV per atom.

=====

[11]
Density functional theory data (PBE-GGA) for a relaxed structure of UH6Ru.

a b c (Å): 4.372 4.372 4.521
angles (deg): 61.08 61.08 60.00
Site moments in Bohr magnetons follow the coordinates.
Element x y z (fractional)
1 Ru 0.000 0.000 0.000  -0.11
2 U 0.500 0.500 0.500  2.06
3 H 0.456 0.895 0.754  -0.01
4 H 0.105 0.105 0.246  -0.01
5 H 0.105 0.544 0.246  -0.01
6 H 0.544 0.105 0.246  -0.01
7 H 0.895 0.895 0.754  -0.01
8 H 0.895 0.456 0.754  -0.01

Values from the calculation:
Its total magnetic moment is 0.25 μB per atom. The space group is R-3m, No. 166. Its total DFT energy (no corrections) is -5.243 eV per atom. The density of states at the Fermi level is 0.640 states/eV per atom.

=====

[12]
Density functional theory data (PBE-GGA) for a relaxed structure of Pm8ThSc5.

a b c (Å): 9.102 7.734 9.102
angles (deg): 114.35 107.89 113.77
Element x y z (fractional)
1 Pm 0.506 0.607 0.206
2 Pm 0.675 0.195 0.272
3 Pm 0.093 0.654 0.064
4 Pm 0.599 0.393 0.899
5 Pm 0.411 0.346 0.439
6 Pm 0.915 0.064 0.693
7 Pm 0.629 0.936 0.851
8 Pm 0.077 0.805 0.481
9 Sc 0.849 0.607 0.721
10 Sc 0.113 0.393 0.241
11 Sc 0.917 0.966 0.233
12 Sc 0.267 0.034 0.951
13 Sc 0.504 0.000 0.504
14 Th 0.194 0.500 0.694

Values from the calculation:
The value obtained for the formation energy is 0.257 eV/atom. Its total magnetic moment is 0.00 μB per atom. The space group is C2, No. 5. Its total DFT energy (no corrections) is -5.249 eV per atom. The density of states at the Fermi level is 1.636 states/eV per atom.